1.
Material: Cu15Te2
Method: DFT, PBE-GGA
State: relaxed

Geometry as POSCAR:
```
Cu15Te2
1.0
-2.592 2.148 3.921
-0.592 0.589 5.100
16.664 20.062 -1.750
Cu Te
15 2
Cartesian
13.943 21.282 4.480 Cu
10.297 17.692 5.920 Cu
0.000 0.000 0.000 Cu
1.366 3.398 2.175 Cu
-0.932 3.044 5.607 Cu
3.183 5.107 1.351 Cu
-1.401 4.528 8.364 Cu
14.412 19.754 1.664 Cu
12.986 16.345 -0.424 Cu
0.835 4.780 4.903 Cu
12.645 18.019 2.367 Cu
-0.463 1.516 2.791 Cu
14.881 18.270 -1.093 Cu
0.494 6.454 7.695 Cu
12.114 19.401 5.095 Cu
3.072 7.077 4.144 Te
10.408 15.721 3.126 Te
```

=====

2.
Material: Cu7Te4
Method: DFT, PBE-GGA
State: relaxed

Geometry as POSCAR:
```
Cu7Te4
1.0
8.330 0.000 0.000
-4.165 7.214 0.000
0.000 0.000 32.181
Te Cu
24 42
Cartesian
6.026 1.330 3.995 Te
2.252 3.509 1.029 Te
0.000 4.809 4.308 Te
6.043 3.489 8.224 Te
4.165 0.245 15.424 Te
2.278 1.315 18.520 Te
6.052 1.315 18.520 Te
6.077 3.509 1.029 Te
0.000 4.809 18.547 Te
2.287 3.489 8.224 Te
2.295 3.484 15.424 Te
0.000 4.809 11.442 Te
0.000 0.000 0.599 Te
2.304 1.330 3.995 Te
4.165 4.584 18.520 Te
4.165 0.196 1.029 Te
2.287 1.321 11.243 Te
6.042 1.321 11.243 Te
4.165 0.236 8.224 Te
4.165 4.553 3.995 Te
6.035 3.484 15.424 Te
0.000 0.000 15.256 Te
4.165 4.573 11.243 Te
0.000 0.000 8.031 Te
2.347 6.164 4.890 Cu
0.000 2.635 7.358 Cu
6.312 1.165 13.869 Cu
0.000 0.000 3.265 Cu
2.013 3.647 5.593 Cu
2.001 5.964 0.634 Cu
1.906 5.910 14.577 Cu
-1.883 5.897 7.358 Cu
0.000 2.323 19.338 Cu
0.000 7.132 12.804 Cu
-2.347 6.164 4.890 Cu
-2.082 3.607 19.662 Cu
-2.153 6.052 19.338 Cu
2.153 6.052 19.338 Cu
2.017 1.165 13.869 Cu
0.000 0.000 10.692 Cu
0.000 0.000 17.919 Cu
0.000 2.608 14.577 Cu
0.000 4.809 1.562 Cu
2.272 6.121 12.077 Cu
-2.001 5.964 0.634 Cu
2.083 3.607 19.662 Cu
-2.011 3.648 12.804 Cu
4.165 0.000 19.662 Cu
0.000 4.809 15.861 Cu
4.165 4.896 6.642 Cu
-2.272 6.121 12.077 Cu
2.011 3.648 12.804 Cu
0.000 2.499 0.634 Cu
4.165 5.823 20.827 Cu
0.000 2.099 4.890 Cu
-1.906 5.910 14.577 Cu
6.323 1.159 6.642 Cu
4.165 4.884 13.869 Cu
2.007 1.159 6.642 Cu
1.883 5.897 7.358 Cu
0.000 2.186 12.077 Cu
7.126 0.695 20.827 Cu
0.000 4.809 8.774 Cu
1.204 0.695 20.827 Cu
0.000 7.134 5.593 Cu
-2.013 3.647 5.593 Cu
```

=====

3.
Material: Cu7Te4
Method: DFT, PBE-GGA
State: relaxed

Geometry as POSCAR:
```
Cu7Te4
1.0
7.154 0.000 0.000
0.000 23.702 0.000
-0.094 0.000 13.786
Cu Te
28 16
Cartesian
2.250 11.171 13.448 Cu
3.032 8.914 8.056 Cu
3.014 9.136 1.142 Cu
4.046 9.136 12.645 Cu
4.028 8.914 5.730 Cu
2.639 9.383 10.639 Cu
4.226 13.102 5.653 Cu
3.890 11.073 9.194 Cu
0.724 10.875 11.545 Cu
2.975 13.200 1.173 Cu
2.433 14.846 6.309 Cu
4.810 11.171 0.338 Cu
4.641 13.314 10.090 Cu
4.085 13.200 12.614 Cu
2.164 12.580 10.462 Cu
6.627 14.558 9.278 Cu
2.928 14.897 10.975 Cu
4.421 9.383 3.148 Cu
4.896 12.580 3.324 Cu
6.336 10.875 2.242 Cu
2.420 13.314 3.696 Cu
4.627 14.846 7.478 Cu
4.963 8.966 9.880 Cu
0.433 14.558 4.508 Cu
4.132 14.897 2.811 Cu
3.170 11.073 4.592 Cu
2.097 8.966 3.906 Cu
2.834 13.102 8.133 Cu
5.691 13.501 1.069 Te
1.638 15.314 2.289 Te
5.272 15.519 5.022 Te
1.788 15.519 8.764 Te
5.389 7.864 7.720 Te
1.672 7.864 6.066 Te
1.491 8.631 12.763 Te
1.369 13.501 12.718 Te
5.340 10.996 11.470 Te
1.720 10.996 2.317 Te
5.630 12.510 7.851 Te
5.569 8.631 1.023 Te
1.297 10.671 8.896 Te
5.763 10.671 4.890 Te
5.422 15.314 11.498 Te
1.430 12.510 5.935 Te
```

=====

4.
Material: Cu4Te
Method: DFT, PBE-GGA
State: relaxed

Geometry as POSCAR:
```
Cu4Te
1.0
-8.727 -5.381 -0.940
1.528 -2.456 -0.131
-0.463 -1.620 24.911
Te Cu
6 24
Cartesian
-8.592 -7.185 18.408 Te
-2.588 -3.417 17.817 Te
0.930 -2.272 5.431 Te
-2.677 -2.829 5.783 Te
-5.073 -6.040 6.023 Te
-4.984 -6.628 18.057 Te
1.123 -1.912 0.935 Cu
-0.650 -3.148 3.432 Cu
-7.012 -6.309 20.408 Cu
-6.642 -5.191 3.807 Cu
-5.851 -6.291 1.666 Cu
-2.782 -5.476 22.151 Cu
-4.497 -6.456 20.517 Cu
-4.102 -5.310 3.676 Cu
-1.390 -1.793 1.389 Cu
-3.164 -3.001 3.323 Cu
-3.565 -4.369 24.266 Cu
-3.560 -4.147 20.164 Cu
-6.613 -4.953 -0.304 Cu
-1.020 -4.266 20.032 Cu
-6.272 -7.664 22.450 Cu
-4.880 -3.981 1.688 Cu
-8.369 -6.176 2.140 Cu
-8.785 -7.545 22.904 Cu
-5.281 -5.345 22.546 Cu
-4.097 -5.088 -0.427 Cu
-1.049 -4.504 24.143 Cu
-1.811 -3.166 22.173 Cu
-2.381 -4.112 1.293 Cu
0.707 -3.281 21.700 Cu
```

=====

5.
Material: Cu7Te
Method: DFT, PBE-GGA
State: relaxed

Geometry as POSCAR:
```
Cu7Te
1.0
2.780 0.000 0.000
0.000 2.780 0.000
0.000 0.000 37.123
Te Cu
2 14
Cartesian
0.000 1.390 5.921 Te
1.390 0.000 31.202 Te
1.390 0.000 8.520 Cu
0.000 1.390 19.336 Cu
0.000 1.390 28.603 Cu
1.390 0.000 17.787 Cu
0.000 1.390 25.506 Cu
0.000 1.390 22.423 Cu
0.000 1.390 10.063 Cu
0.000 1.390 13.152 Cu
1.390 0.000 20.880 Cu
1.390 0.000 23.971 Cu
1.390 0.000 27.060 Cu
0.000 1.390 16.243 Cu
1.390 0.000 11.617 Cu
1.390 0.000 14.700 Cu
```

=====

6.
Material: Cu10Te
Method: DFT, PBE-GGA
State: relaxed

Geometry as POSCAR:
```
Cu10Te
1.0
-2.916 3.235 -0.707
-2.380 2.421 2.819
23.402 21.309 1.360
Cu Te
20 2
Cartesian
3.719 9.158 1.549 Cu
12.173 18.959 2.526 Cu
10.910 16.764 2.211 Cu
9.379 9.062 0.666 Cu
14.387 17.808 1.923 Cu
6.251 13.555 2.178 Cu
5.933 8.007 0.946 Cu
2.833 12.512 2.458 Cu
8.727 17.903 2.806 Cu
9.677 14.569 1.892 Cu
5.024 11.348 1.856 Cu
13.082 15.618 1.616 Cu
11.854 13.411 1.293 Cu
16.614 16.672 1.322 Cu
1.491 10.293 2.149 Cu
7.492 15.723 2.490 Cu
7.196 10.202 1.261 Cu
8.428 12.396 1.580 Cu
15.272 14.453 1.014 Cu
10.613 11.243 0.981 Cu
13.697 21.345 2.845 Te
4.409 5.621 0.627 Te
```

=====

7.
Material: Cu7Te4
Method: DFT, PBE-GGA
State: relaxed

Geometry as POSCAR:
```
Cu7Te4
1.0
-6.796 -2.317 0.899
1.516 -1.334 8.022
-14.813 48.417 10.849
Cu Te
56 32
Cartesian
-12.420 32.953 9.626 Cu
-4.002 12.079 7.030 Cu
-10.572 19.050 7.500 Cu
-11.773 30.390 7.277 Cu
-6.753 14.348 10.106 Cu
-9.836 15.709 4.470 Cu
-11.863 26.600 10.929 Cu
-9.522 25.716 12.270 Cu
-14.933 34.010 8.476 Cu
-14.678 26.658 7.206 Cu
-8.212 25.458 10.050 Cu
-9.577 21.725 7.616 Cu
-14.473 34.686 12.767 Cu
-12.311 31.655 11.854 Cu
-7.646 16.967 4.266 Cu
-14.819 32.460 10.516 Cu
-11.017 25.515 6.324 Cu
-8.949 23.005 9.781 Cu
-10.983 32.823 7.532 Cu
-10.592 20.584 5.424 Cu
-9.231 17.011 6.632 Cu
-8.549 12.584 5.507 Cu
-10.626 13.277 4.215 Cu
-14.127 31.852 14.176 Cu
-8.448 16.322 10.780 Cu
-12.873 34.242 14.576 Cu
-7.782 13.111 7.915 Cu
-11.544 32.182 14.262 Cu
-12.684 25.798 8.608 Cu
-8.231 18.166 8.841 Cu
-11.851 25.066 13.015 Cu
-7.673 11.813 10.144 Cu
-5.275 12.306 9.253 Cu
-11.253 23.689 8.260 Cu
-7.221 10.524 5.193 Cu
-7.528 15.029 6.007 Cu
-6.444 9.840 9.304 Cu
-7.410 18.967 11.162 Cu
-10.517 23.041 12.153 Cu
-9.886 18.447 11.130 Cu
-6.676 12.090 3.271 Cu
-11.882 19.307 9.720 Cu
-8.841 21.077 11.510 Cu
-5.620 10.080 7.003 Cu
-10.862 27.755 13.137 Cu
-13.963 29.133 7.482 Cu
-11.646 28.444 8.990 Cu
-6.931 19.442 4.542 Cu
-11.145 21.761 9.989 Cu
-13.649 34.926 10.465 Cu
-5.966 12.914 5.594 Cu
-16.091 32.687 12.740 Cu
-10.207 26.319 8.640 Cu
-8.242 19.700 6.755 Cu
-12.566 29.737 13.763 Cu
-13.340 30.418 9.664 Cu
-13.394 24.370 6.583 Te
-9.337 13.734 10.202 Te
-3.908 10.081 8.908 Te
-9.235 10.952 3.566 Te
-11.220 17.983 5.110 Te
-10.608 17.036 9.102 Te
-8.281 10.491 7.574 Te
-10.389 28.116 6.638 Te
-6.673 17.673 6.549 Te
-12.146 21.083 7.714 Te
-7.593 20.763 9.152 Te
-7.948 23.683 12.056 Te
-14.694 30.427 12.100 Te
-4.700 10.778 4.716 Te
-11.813 34.275 12.196 Te
-5.400 14.339 7.669 Te
-15.328 31.373 8.112 Te
-12.374 35.148 8.182 Te
-11.310 20.348 12.136 Te
-10.756 31.032 9.567 Te
-16.186 34.685 10.861 Te
-6.282 14.727 3.635 Te
-9.485 27.729 10.668 Te
-12.501 24.003 10.618 Te
-14.101 27.691 9.618 Te
-8.215 21.729 5.165 Te
-5.992 17.074 10.151 Te
-13.420 27.092 13.221 Te
-10.085 30.441 13.122 Te
-15.394 33.988 15.053 Te
-10.009 14.325 6.648 Te
-8.783 24.418 7.633 Te
```

=====

8.
Material: Cu7Te4
Method: DFT, PBE-GGA
State: relaxed

Geometry as POSCAR:
```
Cu7Te4
1.0
8.314 0.000 0.000
-4.157 7.200 0.000
0.000 0.000 7.493
Te Cu
8 14
Cartesian
4.157 4.692 5.608 Te
6.142 1.254 5.608 Te
0.000 4.800 5.517 Te
4.157 2.400 1.976 Te
-1.985 5.946 1.885 Te
1.985 5.946 1.885 Te
2.172 1.254 5.608 Te
0.000 2.508 1.885 Te
-2.098 6.011 4.421 Cu
4.157 2.400 6.898 Cu
2.201 6.071 6.830 Cu
6.255 1.189 3.072 Cu
0.000 2.378 4.421 Cu
1.956 1.129 0.663 Cu
2.059 1.189 3.072 Cu
0.000 4.800 0.595 Cu
0.000 2.259 6.830 Cu
-2.201 6.071 6.830 Cu
4.157 4.823 3.072 Cu
2.098 6.011 4.421 Cu
4.157 4.941 0.663 Cu
6.358 1.129 0.663 Cu
```

=====

9.
Material: Cu7Te4
Method: DFT, PBE-GGA
State: relaxed

Geometry as POSCAR:
```
Cu7Te4
1.0
-2.348 1.379 -1.265
0.116 -3.000 0.078
-16.581 0.164 30.951
Cu Te
7 4
Cartesian
-2.572 0.025 4.801 Cu
-16.401 0.067 26.948 Cu
-14.009 0.138 26.150 Cu
-2.412 -1.523 2.816 Cu
0.000 0.000 0.000 Cu
-16.437 -1.385 28.996 Cu
-2.376 -0.072 0.768 Cu
-12.727 0.030 20.089 Te
-6.087 -1.487 9.676 Te
-5.146 -0.045 5.937 Te
-13.668 -1.412 23.827 Te
```

=====

10.
Material: Cu10Te
Method: DFT, PBE-GGA
State: relaxed

Geometry as POSCAR:
```
Cu10Te
1.0
2.678 0.000 0.000
0.000 2.678 0.000
0.000 0.000 49.736
Cu Te
20 2
Cartesian
0.000 0.000 29.109 Cu
0.000 0.000 15.607 Cu
1.339 1.339 34.129 Cu
0.000 0.000 25.716 Cu
0.000 0.000 12.312 Cu
0.000 0.000 35.774 Cu
0.000 0.000 32.473 Cu
1.339 1.339 17.263 Cu
1.339 1.339 10.634 Cu
0.000 0.000 18.939 Cu
1.339 1.339 20.627 Cu
0.000 0.000 8.977 Cu
1.339 1.339 40.759 Cu
1.339 1.339 30.797 Cu
1.339 1.339 27.414 Cu
0.000 0.000 39.102 Cu
1.339 1.339 37.424 Cu
0.000 0.000 22.322 Cu
1.339 1.339 24.020 Cu
1.339 1.339 13.962 Cu
0.000 0.000 43.466 Te
1.339 1.339 6.272 Te
```

=====

Electronic total energy across the listed records, respectively: -3.566; -3.466; -3.440; -3.507; -3.488; -3.664; -3.557; -3.525; -3.133; -3.512 eV per atom.
Relative energy among the computed polymorphs across the listed records, respectively: 1.72; 2.48; 3.09; 1.22; 1.42; 0.00; 0.39; 1.14; 10.17; 3.51 kcal/mol of atoms.